No. 1
Compound: GePtSe2Br
Source: the Alexandria database
Functional: PBE
Structure: relaxed

Output
space-group type	No. 123
V	25.01	Å³/atom
total DFT energy (no corrections)	-3.0173	eV per atom
energy above the most stable polymorph in this dataset	504	meV/atom
Fermi-level density of states	1.561	states/eV/atom

Structure (extended XYZ):
```
5
Lattice="5.029 0.000 0.000 0.000 5.029 0.000 0.000 0.000 4.943" Properties=species:S:1:pos:R:3 pbc="T T T"
Ge 0.000 0.000 0.000
Pt 2.515 2.515 2.472
Br 0.000 0.000 2.472
Se 0.000 2.515 0.000
Se 2.515 0.000 0.000
```

---

No. 2
Compound: NiCl
Source: the Alexandria database
Functional: PBE
Structure: relaxed

Output
space-group type	No. 67
V	21.67	Å³/atom
total DFT energy (no corrections)	-3.8773	eV per atom
Fermi-level density of states	1.662	states/eV/atom

Structure (extended XYZ):
```
4
Lattice="3.785 -0.337 0.000 -1.698 3.400 0.000 0.000 0.000 7.049" Properties=species:S:1:pos:R:3 pbc="T T T"
Cl 1.044 1.531 4.486
Cl 0.000 0.000 0.800
Ni 0.000 0.000 3.328
Ni 1.044 1.531 1.958
```

---

No. 3
Compound: Dy4Te2Ru
Source: the Alexandria database
Functional: PBE
Structure: relaxed

Output
space-group type	No. 12
V	29.60	Å³/atom
total DFT energy (no corrections)	-5.6356	eV per atom
Fermi-level density of states	0.692	states/eV/atom

Structure (extended XYZ):
```
7
Lattice="-2.188 -3.038 1.774 -2.927 -1.456 -6.103 7.891 -2.418 0.755" Properties=species:S:1:pos:R:3 pbc="T T T"
Dy 3.171 -4.181 -3.249
Dy -0.872 -1.950 -4.416
Dy -0.395 -2.731 -0.326
Dy 3.648 -4.961 0.841
Te -0.016 -4.493 -2.877
Te 2.792 -2.419 -0.698
Ru 0.000 0.000 0.000
```

---

No. 4
Compound: Ce3Al12Os4
Source: the Alexandria database
Functional: PBE
Structure: relaxed

Output
space-group type	No. 194
V	17.26	Å³/atom
total DFT energy (no corrections)	-6.2524	eV per atom
Fermi-level density of states	0.675	states/eV/atom

Structure (extended XYZ):
```
38
Lattice="-3.084 6.480 -5.259 -1.201 -8.519 -2.268 -8.301 -0.095 4.751" Properties=species:S:1:pos:R:3 pbc="T T T"
Ce -8.945 3.504 -1.116
Ce -9.448 -0.065 -2.065
Ce -4.933 -2.923 -3.862
Ce -3.138 -2.069 -0.709
Ce -3.641 -5.637 -1.659
Ce -7.653 0.789 1.087
Al -7.868 -2.817 -2.706
Al -8.561 -1.807 2.794
Al -5.301 1.921 -4.409
Al -8.627 -4.693 -0.724
Al -2.075 -0.024 1.188
Al -1.968 -3.521 -3.185
Al -4.025 -0.327 -5.569
Al -6.746 1.432 -1.806
Al -4.335 -0.109 -2.761
Al -10.618 1.387 0.410
Al -6.909 -0.360 -3.918
Al -5.840 -3.565 -0.969
Al -10.752 -2.850 -1.055
Al -3.411 4.030 -4.409
Al -6.295 3.997 -2.758
Al -8.251 -2.024 -0.013
Al -9.175 -6.164 1.634
Al -5.677 -1.774 1.143
Al -4.717 0.683 -0.069
Al -6.291 -6.131 -0.017
Al -1.833 0.716 -1.720
Al -7.285 -4.054 1.634
Al -6.226 -0.071 3.564
Al -3.959 2.559 -2.051
Os -1.542 3.240 -2.629
Os -0.600 -4.260 -1.134
Os -4.150 -0.047 2.376
Os -6.293 -1.067 -1.387
Os 0.000 0.000 0.000
Os -5.693 3.193 -0.254
Os -4.751 -4.307 1.242
Os -2.142 -1.019 -3.763
```

---

No. 5
Compound: Pm2HoSe4
Source: the Alexandria database
Functional: PBE
Structure: relaxed

Output
space-group type	No. 63
V	27.77	Å³/atom
total DFT energy (no corrections)	-5.8249	eV per atom
energy above the most stable polymorph in this dataset	45	meV/atom
Fermi-level density of states	0.309	states/eV/atom

Structure (extended XYZ):
```
14
Lattice="-1.653 -1.847 -3.145 -0.789 -4.474 5.591 -12.353 5.938 3.008" Properties=species:S:1:pos:R:3 pbc="T T T"
Ho -10.505 2.148 1.713
Ho -4.290 -2.530 3.742
Se -11.640 -1.643 4.536
Se -3.155 1.261 0.919
Se -0.827 -0.923 -1.572
Se -7.003 2.046 -0.068
Se -3.281 -3.204 1.057
Se -8.435 1.341 3.648
Se -11.514 2.821 4.397
Se -6.360 -1.724 1.807
Pm -9.080 -1.525 3.121
Pm -13.494 0.597 4.196
Pm -5.715 1.143 2.334
Pm -1.301 -0.979 1.259
```

---

No. 6
Compound: KIn2GaSn
Source: the Alexandria database
Functional: PBE
Structure: relaxed

Output
space-group type	No. 44
V	30.12	Å³/atom
total DFT energy (no corrections)	-2.8594	eV per atom
Fermi-level density of states	0.309	states/eV/atom

Structure (extended XYZ):
```
5
Lattice="5.006 0.000 0.000 0.000 4.932 0.000 -2.503 -2.466 6.099" Properties=species:S:1:pos:R:3 pbc="T T T"
Ga 0.000 2.466 2.371
K 0.000 0.000 5.391
Sn 2.503 2.466 3.949
In 2.503 0.000 2.308
In 0.000 0.000 0.766
```

---

No. 7
Compound: LiAc2PPt6
Source: the Alexandria database
Functional: PBE
Structure: relaxed

Output
space-group type	No. 8
V	19.32	Å³/atom
total DFT energy (no corrections)	-6.0657	eV per atom
Fermi-level density of states	0.365	states/eV/atom

Structure (extended XYZ):
```
10
Lattice="5.936 0.001 -0.002 0.001 5.936 -0.002 -2.969 -2.969 5.487" Properties=species:S:1:pos:R:3 pbc="T T T"
P 0.001 0.004 0.768
Pt 2.966 2.970 3.167
Pt -1.483 -1.480 5.086
Pt 1.482 1.485 5.084
Pt -1.482 1.484 5.083
Pt -0.003 0.000 3.158
Pt 1.481 -1.479 5.083
Li 2.969 2.972 0.832
Ac 2.965 0.003 2.315
Ac 0.000 2.968 2.315
```

---

No. 8
Compound: Ba2Sr3NpN6
Source: the Alexandria database
Functional: PBE
Structure: relaxed

Output
space-group type	No. 12
V	19.33	Å³/atom
total DFT energy (no corrections)	-6.6746	eV per atom
Fermi-level density of states	0.753	states/eV/atom

Structure (extended XYZ):
```
12
Lattice="6.705 -0.028 -0.012 -3.375 5.794 -0.012 -1.121 -1.941 5.993" Properties=species:S:1:pos:R:3 pbc="T T T"
Sr 4.606 -0.110 2.985
Sr -2.397 3.935 2.985
Sr 1.105 1.913 2.985
Ba -0.029 3.861 -0.012
Ba 3.359 1.905 -0.012
Np 0.000 0.000 0.000
N -0.236 -0.408 4.727
N -0.866 1.491 1.314
N 1.724 -0.005 1.314
N 3.075 2.334 4.656
N 0.485 3.830 4.656
N 2.445 4.233 1.242
```

---

No. 9
Compound: Cs2UBi2Se6
Source: the Alexandria database
Functional: PBE
Structure: relaxed

Output
space-group type	No. 12
V	37.16	Å³/atom
total DFT energy (no corrections)	-4.7036	eV per atom
Fermi-level density of states	0.610	states/eV/atom

Structure (extended XYZ):
```
11
Lattice="7.400 -0.012 0.049 -3.668 6.427 0.049 -1.350 -2.320 8.566" Properties=species:S:1:pos:R:3 pbc="T T T"
Bi -0.678 3.135 4.332
Bi 3.060 0.961 4.332
Se 0.524 0.901 2.729
Se 4.244 3.202 2.764
Se 0.686 5.272 2.764
Se 1.859 3.195 5.936
Se -1.862 0.893 5.901
Se 1.697 -1.177 5.901
U -0.675 -1.160 4.283
Cs 5.513 1.086 0.049
Cs -1.781 5.329 0.049
```

---

No. 10
Compound: Sm4AlCo
Source: the Alexandria database
Functional: PBE
Structure: relaxed

Output
space-group type	No. 216
V	26.07	Å³/atom
total DFT energy (no corrections)	-5.1720	eV per atom
energy above the most stable polymorph in this dataset	0	meV/atom
Fermi-level density of states	0.818	states/eV/atom

Structure (extended XYZ):
```
24
Lattice="-4.916 -7.307 3.822 4.181 -5.741 6.460 -2.725 0.339 9.199" Properties=species:S:1:pos:R:3 pbc="T T T"
Co -0.917 -7.892 7.847
Co 0.042 -4.548 10.199
Co -3.938 -5.233 9.045
Co -2.109 -7.744 11.871
Sm -1.388 -5.097 7.814
Sm -4.876 -9.768 15.876
Sm -3.824 -9.899 12.328
Sm -1.366 -9.164 16.894
Sm -2.212 -12.114 14.820
Sm -3.333 -7.988 9.326
Sm -5.422 -6.737 11.789
Sm 0.266 -7.368 10.369
Sm -3.720 -6.949 6.045
Sm -2.979 -6.949 14.402
Sm -2.352 -2.174 9.402
Sm 1.961 -5.971 7.692
Sm -1.109 -10.534 10.079
Sm 0.259 -5.760 13.436
Sm -2.466 -4.963 11.453
Sm -0.315 -9.295 13.345
Al -0.605 -2.222 3.407
Al -1.424 -2.120 6.171
Al 0.651 -3.948 5.348
Al -2.083 -4.418 4.555
```

---

No. 11
Compound: Si2OsC
Source: the Alexandria database
Functional: PBE
Structure: relaxed

Output
space-group type	No. 122
V	14.35	Å³/atom
total DFT energy (no corrections)	-7.3514	eV per atom
Fermi-level density of states	0.397	states/eV/atom

Structure (extended XYZ):
```
8
Lattice="5.092 0.000 0.000 0.000 5.092 0.000 2.546 2.546 4.428" Properties=species:S:1:pos:R:3 pbc="T T T"
Si 6.365 6.008 3.321
Si 1.630 3.819 1.107
Si 3.819 4.176 3.321
Si 3.462 1.273 1.107
Os 5.092 2.546 2.214
Os 0.000 0.000 0.000
C 2.546 2.546 0.000
C 2.546 5.092 2.214
```

---

No. 12
Compound: GaSiH2
Source: the Alexandria database
Functional: PBE
Structure: relaxed

Output
space-group type	No. 8
V	12.61	Å³/atom
total DFT energy (no corrections)	-3.4194	eV per atom
energy above the most stable polymorph in this dataset	230	meV/atom
Fermi-level density of states	0.331	states/eV/atom

Structure (extended XYZ):
```
8
Lattice="-1.288 1.994 1.239 -2.078 -1.441 0.159 5.887 -7.172 11.916" Properties=species:S:1:pos:R:3 pbc="T T T"
Si 0.505 -0.523 1.861
Si 2.410 -4.829 7.899
H 2.881 -5.359 9.246
H 3.893 -4.337 11.536
H 0.976 -1.052 3.208
H -0.090 -1.472 5.657
Ga 4.907 -5.753 11.967
Ga 0.925 -2.887 6.089
```